TmNbTe2, relaxed, DFT PBE; DFT total energy = -62.60 eV for the cell shown; D(E_F) = 11.52 states/eV per cell; space-group type = R-3m (166); energy relative to the elements, uncorrected = -0.0104 eV per atom
1.0
4.074 0.000 0.000
-2.037 3.528 0.000
0.000 0.000 27.841
Tm Nb Te
3 3 6
direct
0.000 0.000 0.000
0.333 0.667 0.667
0.667 0.333 0.333
0.000 0.000 0.500
0.333 0.667 0.167
0.667 0.333 0.833
0.000 0.000 0.400
0.000 0.000 0.600
0.333 0.667 0.067
0.333 0.667 0.267
0.667 0.333 0.733
0.667 0.333 0.933